Run i
The following is a GGA-PBE calculation of crystalline TmTiAs2 at its relaxed geometry, from the Alexandria database.

Cell and atoms, written as POSCAR:
```
TmTiAs2
1.0
1.8977 1.0956 6.5865
-1.8977 1.0956 6.5865
0.0000 -2.1912 6.5865
Tm Ti As
1 1 2
Cartesian
0.0000 0.0000 0.0000
0.0000 0.0000 16.3165
0.0000 0.0000 4.6870
0.0000 0.0000 8.3697
```

---

Run ii
The following is a GGA-PBE calculation of crystalline TmTiAs2 at its relaxed geometry, from the Alexandria database.

Cell and atoms, written as POSCAR:
```
TmTiAs2
1.0
1.9224 1.1099 6.3387
-1.9224 1.1099 6.3387
0.0000 -2.2198 6.3387
Tm Ti As
1 1 2
Cartesian
0.0000 0.0000 0.0000
0.0000 0.0000 9.5081
0.0000 0.0000 4.5973
0.0000 0.0000 14.4190
```

---

Short version: run i is the least stable of them.

---

Run i
The following is a GGA-PBE calculation of crystalline TiV2As at its relaxed geometry, from the Alexandria database.

Cell and atoms, written as POSCAR:
```
TiV2As
1.0
-3.6313 3.6313 2.4733
3.6313 -3.6313 2.4733
3.6313 3.6313 -2.4733
Ti V As
2 4 2
Cartesian
0.0000 0.0000 0.0000
0.0000 3.6313 1.2366
1.8157 -1.4914 1.8550
2.1399 1.8157 0.6183
1.8157 5.1227 -0.6183
1.4914 1.8157 3.0916
3.6313 0.0000 1.2366
0.0000 0.0000 2.4733
```

---

Run ii
The following is a GGA-PBE calculation of crystalline TiV2As at its relaxed geometry, from the Alexandria database.

Cell and atoms, written as POSCAR:
```
TiV2As
1.0
0.0000 3.0341 3.0341
3.0341 0.0000 3.0341
3.0341 3.0341 0.0000
Ti V As
1 2 1
Cartesian
0.0000 0.0000 0.0000
1.5171 1.5171 1.5171
4.5512 4.5512 4.5512
3.0341 3.0341 3.0341
```

---

Run iii
The following is a GGA-PBE calculation of crystalline TiV2As at its relaxed geometry, from the Alexandria database.

Cell and atoms, written as POSCAR:
```
TiV2As
1.0
3.7259 0.0000 0.0000
0.0000 3.7259 0.0000
0.0000 0.0000 4.1119
Ti V As
1 2 1
Cartesian
0.0000 0.0000 0.0000
0.0000 1.8629 2.0560
1.8629 0.0000 2.0560
1.8629 1.8629 0.0000
```

---

Short version: run i is the least stable of them.

---

Run i
The following is a GGA-PBE calculation of crystalline Ti2VAs2 at its relaxed geometry, from the Alexandria database.

Cell and atoms, written as POSCAR:
```
Ti2VAs2
1.0
6.6297 0.0000 0.0000
0.0000 6.6297 0.0000
0.0000 0.0000 3.5320
Ti V As
4 2 4
Cartesian
1.0346 2.2803 0.0000
2.2803 5.5951 0.0000
4.3495 1.0346 0.0000
5.5951 4.3495 0.0000
0.0000 0.0000 1.7660
3.3149 3.3149 1.7660
0.9803 4.2951 1.7660
2.3346 0.9803 1.7660
4.2951 5.6494 1.7660
5.6494 2.3346 1.7660
```

---

Run ii
The following is a GGA-PBE calculation of crystalline Ti2VAs2 at its relaxed geometry, from the Alexandria database.

Cell and atoms, written as POSCAR:
```
Ti2VAs2
1.0
-1.9693 1.9693 5.6786
1.9693 -1.9693 5.6786
1.9693 1.9693 -5.6786
Ti V As
2 1 2
Cartesian
1.9693 0.0000 2.8393
0.0000 1.9693 2.8393
0.0000 0.0000 0.0000
0.0000 0.0000 4.4578
0.0000 0.0000 6.8995
```

---

Short version: run ii is the least stable of them.

---

Run i
The following is a GGA-PBE calculation of crystalline Ti2VAs at its relaxed geometry, from the Alexandria database.

Cell and atoms, written as POSCAR:
```
Ti2VAs
1.0
4.1546 0.0000 0.0000
0.0000 4.1546 0.0000
0.0000 0.0000 3.4832
Ti V As
2 1 1
Cartesian
0.0000 2.0773 0.0000
2.0773 0.0000 0.0000
0.0000 0.0000 1.7416
2.0773 2.0773 1.7416
```

---

Run ii
The following is a GGA-PBE calculation of crystalline Ti2VAs at its relaxed geometry, from the Alexandria database.

Cell and atoms, written as POSCAR:
```
Ti2VAs
1.0
1.5466 0.8929 7.8818
-1.5466 0.8929 7.8818
0.0000 -1.7859 7.8818
Ti V As
2 1 1
Cartesian
0.0000 0.0000 5.8668
0.0000 0.0000 17.7788
0.0000 0.0000 0.0000
0.0000 0.0000 11.8228
```

---

Short version: run ii is the least stable of them.

---

Run i
The following is a GGA-PBE calculation of crystalline Ti2VAs at its relaxed geometry, from the Alexandria database.

Cell and atoms, written as POSCAR:
```
Ti2VAs
1.0
-3.6393 3.6393 2.5255
3.6393 -3.6393 2.5255
3.6393 3.6393 -2.5255
Ti V As
4 2 2
Cartesian
5.4590 1.6368 -0.6314
1.6368 1.8197 0.6314
-1.8197 2.0025 1.8942
2.0025 1.8197 3.1569
3.6393 0.0000 1.2628
0.0000 0.0000 2.5255
0.0000 0.0000 0.0000
0.0000 3.6393 1.2628
```

---

Run ii
The following is a GGA-PBE calculation of crystalline Ti2VAs at its relaxed geometry, from the Alexandria database.

Cell and atoms, written as POSCAR:
```
Ti2VAs
1.0
0.0000 3.0986 3.0986
3.0986 0.0000 3.0986
3.0986 3.0986 0.0000
Ti V As
2 1 1
Cartesian
1.5493 1.5493 1.5493
4.6478 4.6478 4.6478
0.0000 0.0000 0.0000
3.0986 3.0986 3.0986
```

---

Short version: run i is the least stable of them.

---

Run i
The following is a GGA-PBE calculation of crystalline TiVAs2 at its relaxed geometry, from the Alexandria database.

Cell and atoms, written as POSCAR:
```
TiVAs2
1.0
1.8497 1.0679 5.7914
-1.8497 1.0679 5.7914
0.0000 -2.1359 5.7914
Ti V As
1 1 2
Cartesian
0.0000 0.0000 0.0000
0.0000 0.0000 8.6870
0.0000 0.0000 4.3026
0.0000 0.0000 13.0715
```

---

Run ii
The following is a GGA-PBE calculation of crystalline TiVAs2 at its relaxed geometry, from the Alexandria database.

Cell and atoms, written as POSCAR:
```
TiVAs2
1.0
3.5083 0.0000 0.0000
-1.7541 3.0383 0.0000
0.0000 0.0000 6.2853
Ti V As
1 1 2
Cartesian
0.0000 0.0000 0.0000
0.0000 0.0000 3.1426
0.0000 2.0255 1.6185
1.7541 1.0127 4.6668
```

---

Short version: run i is the least stable of them.

---

Run i
The following is a GGA-PBE calculation of crystalline TiAsW3 at its relaxed geometry, from the Alexandria database.

Cell and atoms, written as POSCAR:
```
TiAsW3
1.0
4.5898 0.0000 0.0000
0.0000 4.5898 0.0000
0.0000 0.0000 4.5898
Ti As W
1 1 3
Cartesian
0.0000 0.0000 0.0000
2.2949 2.2949 2.2949
0.0000 2.2949 2.2949
2.2949 0.0000 2.2949
2.2949 2.2949 0.0000
```

---

Run ii
The following is a GGA-PBE calculation of crystalline TiAsW3 at its relaxed geometry, from the Alexandria database.

Cell and atoms, written as POSCAR:
```
TiAsW3
1.0
4.6280 0.0000 0.0000
0.0000 4.6280 0.0000
0.0000 0.0000 4.6280
Ti As W
1 1 3
Cartesian
0.0000 0.0000 0.0000
2.3140 2.3140 2.3140
0.0000 0.0000 2.3140
0.0000 2.3140 0.0000
2.3140 0.0000 0.0000
```

---

Short version: run ii is the least stable of them.